Computed, not measured: a relaxed structure of U2Sb3Au at the GGA-PBE level of DFT.

Results
Calculated total energy   -6.314 eV per atom
E_form (uncorrected)   56 meV/atom
Space-group type   Immm, No. 71
Density of states at the Fermi level   2.6169 states/eV per atom

The structure in POSCAR format:
```
U2Sb3Au
1.0
-1.350 -3.683 -2.374
-1.959 -2.632 5.198
-3.700 5.618 -2.184
Au Sb U
1 3 2
direct
0.000 0.500 0.000
0.344 0.344 0.689
0.000 0.000 0.000
0.656 0.656 0.311
0.673 0.173 0.345
0.327 0.827 0.655
```